Compound: Be5Cu
Source: Alexandria
Functional: SCAN
Structure: single point on PBEsol structure

a b c (Å): 4.338 4.338 5.387
angles (deg): 103.92 103.92 31.37
Positions (direct):
Be  0.000  0.000  0.000
Be  0.053  0.053  0.598
Be  0.338  0.338  0.660
Be  0.390  0.390  0.278
Be  0.669  0.669  0.335
Cu  0.723  0.723  0.939

Total energy: -6.2116 eV/atom
Crystal system: monoclinic
Magnetization: 0.000 μB/atom